A relaxed structure of AsPdPb, computed with PBE.

Cell: 3.2642 3.2642 12.3831 Å, 90.00 90.00 90.00°
Element x y z (fractional)
As 0.0000 0.0000 0.0000
As 0.5000 0.5000 0.5000
Pd 0.0000 0.0000 0.4014
Pd 0.5000 0.5000 0.9014
Pb 0.0000 0.0000 0.7272
Pb 0.5000 0.5000 0.2272

Calculated values
Volume, Å³/f.u.: 66.0
E, eV/atom: -4.688
Space-group type: I4mm (107)
DFT formation energy, kJ/mol of atoms: -16.5